# Ag5HgPd4 (PBE, optimized geometry)
# **Magnetization**: 0.0 μB/f.u.
# **N(E_F)**: 0.33 states/eV per atom
# **Offset from the most stable computed form**: 47 meV/atom
data_Ag5HgPd4
_space_group_name_H-M_alt 'P 1'
_space_group_IT_number 1
_cell_length_a 8.357
_cell_length_b 9.507
_cell_length_c 4.924
_cell_angle_alpha 90.00
_cell_angle_beta 90.00
_cell_angle_gamma 90.00
loop_
_space_group_symop_operation_xyz
'x,y,z'
loop_
_atom_site_label
_atom_site_type_symbol
_atom_site_fract_x
_atom_site_fract_y
_atom_site_fract_z
Ag1 Ag 0.082 0.002 0.246
Ag2 Ag 0.082 0.498 0.246
Ag3 Ag 0.250 0.750 0.079
Ag4 Ag 0.418 0.002 0.246
Ag5 Ag 0.418 0.498 0.246
Ag6 Ag 0.582 0.502 0.754
Ag7 Ag 0.582 0.998 0.754
Ag8 Ag 0.750 0.250 0.921
Ag9 Ag 0.918 0.502 0.754
Ag10 Ag 0.918 0.998 0.754
Hg1 Hg 0.250 0.250 0.523
Hg2 Hg 0.750 0.750 0.477
Pd1 Pd 0.079 0.750 0.575
Pd2 Pd 0.250 0.514 0.745
Pd3 Pd 0.250 0.986 0.745
Pd4 Pd 0.421 0.750 0.575
Pd5 Pd 0.579 0.250 0.425
Pd6 Pd 0.750 0.014 0.255
Pd7 Pd 0.750 0.486 0.255
Pd8 Pd 0.921 0.250 0.425